Record 1
First-principles (PBE) data for crystalline ZrMo2P8 at its relaxed geometry, as listed in Alexandria.

a = 6.4453 Å, b = 8.7066 Å, c = 4.6696 Å
α = 80.32°, β = 84.48°, γ = 124.62°
Last column: nearest neighbours and their distance in Å.
Fractional positions:
P 0.1558 0.6614 0.2898  1 P 2.23, 2 Mo 2.43-2.48
P 0.1369 0.3372 0.1221  1 P 2.16, 1 Mo 2.41
P 0.3257 0.9177 0.9002  2 P 2.23-2.27, 1 Mo 2.47
P 0.8442 0.3386 0.7102  1 P 2.23, 2 Mo 2.43-2.48
Mo 0.2455 0.6257 0.7800  7 P 2.41-2.67
P 0.6743 0.0823 0.0998  2 P 2.23-2.27, 1 Mo 2.47
Zr 0.0000 0.0000 0.0000  6 P 2.60-2.82
P 0.7029 0.7655 0.5831  1 P 2.16
P 0.8631 0.6628 0.8779  1 P 2.16, 1 Mo 2.41
P 0.2971 0.2345 0.4169  1 P 2.16
Mo 0.7545 0.3743 0.2200  7 P 2.41-2.67

Summary:
- Calculated volume: 18.777 A^3/atom
- SG: P-1
- E_form: -11.3 kJ per mole of atoms
- Final energy: -74.780 eV/cell
- Crystal system: triclinic

***

Record 2
First-principles (PBE) data for crystalline ZrMoP4 at its relaxed geometry, as listed in Alexandria.

a = 5.0396 Å, b = 5.0396 Å, c = 5.0396 Å
α = 60.00°, β = 60.00°, γ = 60.00°
Last column: nearest neighbours and their distance in Å.
Fractional positions:
Mo 0.0000 0.0000 0.0000  12 P 2.95, 4 Zr 3.09
P 0.6260 0.6260 0.6260  6 P 2.50-2.54
P 0.6260 0.1219 0.6260  6 P 2.50-2.54
P 0.1219 0.6260 0.6260  6 P 2.50-2.54
P 0.6260 0.6260 0.1219  6 P 2.50-2.54
Zr 0.2500 0.2500 0.2500  12 P 2.96, 4 Mo 3.09

Summary:
- Calculated volume: 15.084 A^3/atom
- SG: F-43m
- E_form: 31.6 kJ per mole of atoms
- Final energy: -39.053 eV/cell
- Crystal system: cubic

***

Record 3
First-principles (PBE) data for crystalline Zr2MoP2 at its relaxed geometry, as listed in Alexandria.

a = 6.6869 Å, b = 6.6869 Å, c = 3.7048 Å
α = 90.00°, β = 90.00°, γ = 90.00°
Last column: nearest neighbours and their distance in Å.
Fractional positions:
Zr 0.3377 0.1623 0.5000  6 P 2.61-2.76
P 0.8566 0.6434 0.0000  2 Mo 2.57, 6 Zr 2.61-2.76, 1 P 2.71
Zr 0.6623 0.8377 0.5000  6 P 2.61-2.76
Zr 0.1623 0.6623 0.5000  6 P 2.61-2.76
P 0.6434 0.1434 0.0000  2 Mo 2.57, 6 Zr 2.61-2.76, 1 P 2.71
Mo 0.0000 0.0000 0.0000  4 P 2.57
P 0.1434 0.3566 0.0000  2 Mo 2.57, 6 Zr 2.61-2.76, 1 P 2.71
Zr 0.8377 0.3377 0.5000  6 P 2.61-2.76
Mo 0.5000 0.5000 0.0000  4 P 2.57
P 0.3566 0.8566 0.0000  2 Mo 2.57, 6 Zr 2.61-2.76, 1 P 2.71

Summary:
- Calculated volume: 16.566 A^3/atom
- SG: P4/mbm
- E_form: -95.8 kJ per mole of atoms
- Final energy: -87.421 eV/cell
- Crystal system: tetragonal

***

Record 4
First-principles (PBE) data for crystalline Zr2MoP at its relaxed geometry, as listed in Alexandria.

a = 7.9587 Å, b = 7.9587 Å, c = 6.1591 Å
α = 49.75°, β = 49.75°, γ = 90.00°
Last column: nearest neighbours and their distance in Å.
Fractional positions:
P 0.5000 0.5000 0.0000  2 Mo 2.50, 4 Zr 2.54
P 0.2500 0.7500 0.5000  2 Mo 2.50, 4 Zr 2.54
Zr 0.3750 0.4436 0.7500  2 P 2.54, 2 Zr 2.73
Mo 0.7500 0.2500 0.5000  2 P 2.50
Mo 0.0000 0.0000 0.0000  2 P 2.50
Zr 0.8750 0.8064 0.7500  2 P 2.54, 2 Zr 2.73
Zr 0.5564 0.1250 0.2500  2 P 2.54, 2 Zr 2.73
Zr 0.1936 0.6250 0.2500  2 P 2.54, 2 Zr 2.73

Summary:
- Calculated volume: 19.817 A^3/atom
- SG: I-42d
- E_form: 4.8 kJ per mole of atoms
- Final energy: -66.273 eV/cell
- Crystal system: tetragonal

***

Record 5
First-principles (PBE) data for crystalline Zr3MoP at its relaxed geometry, as listed in Alexandria.

a = 4.8185 Å, b = 4.8185 Å, c = 4.8185 Å
α = 90.00°, β = 90.00°, γ = 90.00°
Last column: nearest neighbours and their distance in Å.
Fractional positions:
Zr 0.0000 0.5000 0.0000  2 P 2.41
Zr 0.0000 0.0000 0.5000  2 P 2.41
Mo 0.5000 0.5000 0.5000  12 Zr 3.41
Zr 0.5000 0.0000 0.0000  2 P 2.41
P 0.0000 0.0000 0.0000  6 Zr 2.41

Summary:
- Calculated volume: 22.375 A^3/atom
- SG: Pm-3m
- E_form: 10.0 kJ per mole of atoms
- Final energy: -41.367 eV/cell
- Energy relative to the lowest polymorph listed for this composition: 0 meV per atom
- Crystal system: cubic

***

Record 6
First-principles (PBE) data for crystalline Zr2MoP at its relaxed geometry, as listed in Alexandria.

a = 4.1348 Å, b = 3.5613 Å, c = 5.3316 Å
α = 70.78°, β = 90.00°, γ = 90.00°
Last column: nearest neighbours and their distance in Å.
Fractional positions:
P 0.5000 0.5524 0.7822  2 Mo 2.62, 7 Zr 2.79-2.86
Zr 0.5000 0.2605 0.3436  4 Mo 2.78-2.81, 3 P 2.82-2.86
Zr 0.0000 0.9933 0.9116  3 Mo 2.78-2.92, 4 P 2.79-2.82
Mo 0.0000 0.6937 0.4626  2 P 2.62, 7 Zr 2.78-2.92

Summary:
- Calculated volume: 18.533 A^3/atom
- SG: Pm
- E_form: -56.3 kJ per mole of atoms
- Final energy: -35.671 eV/cell
- Crystal system: monoclinic

***

Record 7
First-principles (PBE) data for crystalline Zr2MoP at its relaxed geometry, as listed in Alexandria.

a = 3.1158 Å, b = 3.1158 Å, c = 8.0602 Å
α = 90.00°, β = 90.00°, γ = 108.87°
Last column: nearest neighbours and their distance in Å.
Fractional positions:
P 0.5000 0.5000 0.0000  4 Zr 2.60
Mo 0.5000 0.5000 0.5000  4 Zr 2.82, 4 Mo 3.12
Zr 0.0000 0.0000 0.7681  2 P 2.60, 2 Mo 2.82
Zr 0.0000 0.0000 0.2319  2 P 2.60, 2 Mo 2.82

Summary:
- Calculated volume: 18.512 A^3/atom
- SG: Cmmm
- E_form: -37.6 kJ per mole of atoms
- Final energy: -34.898 eV/cell
- Crystal system: orthorhombic

***

Record 8
First-principles (PBE) data for crystalline Zr2MoP at its relaxed geometry, as listed in Alexandria.

a = 5.9564 Å, b = 5.9564 Å, c = 5.9564 Å
α = 147.14°, β = 138.52°, γ = 53.90°
Last column: nearest neighbours and their distance in Å.
Fractional positions:
P 0.6986 0.1986 0.5000  2 Mo 2.52, 4 Zr 2.80
Zr 0.0109 0.0109 0.0000  4 Mo 2.70, 2 P 2.90
Zr 0.2677 0.7677 0.5000  4 P 2.80
Mo 0.5227 0.5227 0.0000  2 P 2.52, 4 Zr 2.70

Summary:
- Calculated volume: 18.868 A^3/atom
- SG: Imm2
- E_form: -38.4 kJ per mole of atoms
- Final energy: -34.928 eV/cell
- Crystal system: orthorhombic

***

Record 9
First-principles (PBE) data for crystalline Zr4MoP at its relaxed geometry, as listed in Alexandria.

a = 5.5933 Å, b = 5.5933 Å, c = 5.5933 Å
α = 60.00°, β = 60.00°, γ = 60.00°
Last column: nearest neighbours and their distance in Å.
Fractional positions:
Zr 0.3766 0.3766 0.3766  6 Zr 2.76-2.83
Zr 0.3766 0.8702 0.3766  6 Zr 2.76-2.83
Zr 0.8702 0.3766 0.3766  6 Zr 2.76-2.83
P 0.0000 0.0000 0.0000  12 Zr 3.28, 4 Mo 3.43
Zr 0.3766 0.3766 0.8702  6 Zr 2.76-2.83
Mo 0.7500 0.7500 0.7500  12 Zr 3.28, 4 P 3.43

Summary:
- Calculated volume: 20.622 A^3/atom
- SG: F-43m
- E_form: 59.7 kJ per mole of atoms
- Final energy: -46.719 eV/cell
- Crystal system: cubic

***

Record 10
First-principles (PBE) data for crystalline Zr2MoP at its relaxed geometry, as listed in Alexandria.

a = 3.3026 Å, b = 3.3026 Å, c = 6.7403 Å
α = 90.00°, β = 90.00°, γ = 90.00°
Last column: nearest neighbours and their distance in Å.
Fractional positions:
P 0.5000 0.5000 0.7056  4 Mo 2.56
Zr 0.0000 0.0000 0.9669  1 Mo 2.81, 4 P 2.93, 4 Zr 3.14
Zr 0.5000 0.5000 0.2779  1 P 2.88, 4 Mo 2.97, 4 Zr 3.14
Mo 0.0000 0.0000 0.5495  4 P 2.56, 1 Zr 2.81

Summary:
- Calculated volume: 18.379 A^3/atom
- SG: P4mm
- E_form: -34.9 kJ per mole of atoms
- Final energy: -34.784 eV/cell
- Crystal system: tetragonal

***

Record 11
First-principles (PBE) data for crystalline Zr2MoP at its relaxed geometry, as listed in Alexandria.

a = 4.6075 Å, b = 4.6075 Å, c = 4.6075 Å
α = 60.00°, β = 60.00°, γ = 60.00°
Last column: nearest neighbours and their distance in Å.
Fractional positions:
P 0.2500 0.2500 0.2500  4 Zr 2.82, 4 Mo 2.82
Mo 0.5000 0.5000 0.5000  4 Zr 2.82, 4 P 2.82
Zr 0.7500 0.7500 0.7500  4 Mo 2.82, 4 Zr 2.82
Zr 0.0000 0.0000 0.0000  4 Zr 2.82, 4 P 2.82

Summary:
- Calculated volume: 17.291 A^3/atom
- SG: F-43m
- E_form: -7.8 kJ per mole of atoms
- Final energy: -33.661 eV/cell
- Crystal system: cubic

***

Record 12
First-principles (PBE) data for crystalline Zr3MoP at its relaxed geometry, as listed in Alexandria.

a = 4.9935 Å, b = 4.9935 Å, c = 4.9935 Å
α = 90.00°, β = 90.00°, γ = 90.00°
Last column: nearest neighbours and their distance in Å.
Fractional positions:
Zr 0.0000 0.5000 0.0000  2 Mo 2.50
Zr 0.0000 0.0000 0.5000  2 Mo 2.50
Zr 0.5000 0.0000 0.0000  2 Mo 2.50
P 0.5000 0.5000 0.5000  12 Zr 3.53
Mo 0.0000 0.0000 0.0000  6 Zr 2.50

Summary:
- Calculated volume: 24.903 A^3/atom
- SG: Pm-3m
- E_form: 77.4 kJ per mole of atoms
- Final energy: -37.875 eV/cell
- Energy relative to the lowest polymorph listed for this composition: 698 meV per atom
- Crystal system: cubic

***

Which formula does entry 9 have?
Zr4MoP